[1]
Below is a geometry-optimized Ac3IrPt2 structure, with properties calculated at the PBE-GGA level.

Computed properties:
DOS at the Fermi energy = 3.04 states/eV/f.u.

Cell: 6.1730 8.7589 13.0434 Å, 90.00 90.00 90.00°
Atoms (fractional coordinates):
Ac: 0.7505 0.3747 0.7510
Ac: 0.2503 0.1355 0.5786
Ac: 0.7497 0.8645 0.4214
Ac: 0.7499 0.3837 0.4196
Ac: 0.2495 0.6253 0.2490
Ac: 0.2495 0.1253 0.2510
Ac: 0.7505 0.8747 0.7490
Ac: 0.2503 0.6355 0.9214
Ac: 0.7499 0.8837 0.0804
Ac: 0.2501 0.6163 0.5804
Ac: 0.2501 0.1163 0.9196
Ac: 0.7497 0.3645 0.0786
Ir: 0.7501 0.6255 0.5876
Ir: 0.2499 0.8745 0.0876
Ir: 0.2499 0.3745 0.4124
Ir: 0.7501 0.1255 0.9124
Pt: 0.7503 0.1243 0.5821
Pt: 0.7495 0.1243 0.2552
Pt: 0.7495 0.6243 0.2448
Pt: 0.2497 0.8757 0.4179
Pt: 0.2505 0.8757 0.7448
Pt: 0.7503 0.6243 0.9179
Pt: 0.2497 0.3757 0.0821
Pt: 0.2505 0.3757 0.7552

---

[2]
Below is a geometry-optimized Ac12Ir5Pt3 structure, with properties calculated at the PBE-GGA level.

Computed properties:
DOS at the Fermi energy = 16.81 states/eV/f.u.

Cell: 15.4778 15.4778 15.4778 Å, 109.47 109.47 109.47°
Atoms (fractional coordinates):
Ir: 0.1250 0.3750 0.2500
Ir: 0.5000 0.5000 0.0000
Ir: 0.2500 0.3750 0.6250
Ir: 0.0000 0.0000 0.0000
Ir: 0.8750 0.6250 0.7500
Ir: 0.0000 0.0000 0.5000
Ir: 0.1250 0.7500 0.3750
Ir: 0.5000 0.0000 0.5000
Ir: 0.0000 0.5000 0.5000
Ir: 0.5000 0.0000 0.0000
Ir: 0.5000 0.5000 0.5000
Ir: 0.6250 0.8750 0.2500
Ir: 0.6250 0.7500 0.8750
Ir: 0.0000 0.5000 0.0000
Ir: 0.3750 0.2500 0.1250
Ir: 0.7500 0.1250 0.8750
Ir: 0.2500 0.8750 0.1250
Ir: 0.3750 0.1250 0.7500
Ir: 0.8750 0.2500 0.6250
Ir: 0.7500 0.6250 0.3750
Ac: 0.4113 0.2839 0.3241
Ac: 0.5401 0.2161 0.1274
Ac: 0.1274 0.4113 0.0873
Ac: 0.2839 0.8726 0.9599
Ac: 0.0873 0.1759 0.4599
Ac: 0.9113 0.0873 0.6274
Ac: 0.5873 0.9599 0.6759
Ac: 0.5401 0.3241 0.9127
Ac: 0.4127 0.3726 0.5887
Ac: 0.8241 0.9113 0.2839
Ac: 0.0873 0.9113 0.1274
Ac: 0.4599 0.6759 0.0873
Ac: 0.8241 0.9127 0.0401
Ac: 0.9599 0.3726 0.2839
Ac: 0.3726 0.9599 0.7839
Ac: 0.6759 0.4599 0.5873
Ac: 0.3241 0.7839 0.4113
Ac: 0.3241 0.5401 0.4127
Ac: 0.0401 0.6274 0.7161
Ac: 0.3726 0.4127 0.0887
Ac: 0.5887 0.7161 0.6759
Ac: 0.8726 0.2839 0.4599
Ac: 0.6759 0.2161 0.5887
Ac: 0.7839 0.3241 0.9113
Ac: 0.7161 0.1274 0.0401
Ac: 0.0887 0.1759 0.2161
Ac: 0.9127 0.0887 0.8726
Ac: 0.2839 0.4113 0.8241
Ac: 0.0401 0.4127 0.8241
Ac: 0.9113 0.8241 0.7839
Ac: 0.9599 0.5873 0.1759
Ac: 0.2161 0.5401 0.6274
Ac: 0.9127 0.8241 0.5401
Ac: 0.1759 0.0873 0.9599
Ac: 0.8726 0.5887 0.9127
Ac: 0.4127 0.0401 0.3241
Ac: 0.5887 0.8726 0.4127
Ac: 0.2161 0.6759 0.0887
Ac: 0.4599 0.7839 0.8726
Ac: 0.0887 0.9127 0.3726
Ac: 0.7161 0.5887 0.1759
Ac: 0.7839 0.4599 0.3726
Ac: 0.1759 0.0887 0.7161
Ac: 0.6274 0.5873 0.9113
Ac: 0.6274 0.0401 0.2161
Ac: 0.5873 0.6274 0.4113
Ac: 0.4113 0.1274 0.5873
Ac: 0.1274 0.7161 0.5401
Pt: 0.7500 0.8750 0.6250
Pt: 0.6250 0.3750 0.7500
Pt: 0.1250 0.2500 0.8750
Pt: 0.2500 0.1250 0.3750
Pt: 0.3750 0.6250 0.2500
Pt: 0.2500 0.6250 0.8750
Pt: 0.8750 0.7500 0.1250
Pt: 0.1250 0.8750 0.7500
Pt: 0.8750 0.1250 0.2500
Pt: 0.6250 0.2500 0.3750
Pt: 0.3750 0.7500 0.6250
Pt: 0.7500 0.3750 0.1250

---

[3]
Below is a geometry-optimized Ac6IrPt5 structure, with properties calculated at the PBE-GGA level.

Computed properties:
DOS at the Fermi energy = 5.58 states/eV/f.u.

Cell: 7.5716 7.5716 7.5992 Å, 99.55 99.55 119.99°
Atoms (fractional coordinates):
Pt: 0.3336 0.6664 0.0000
Pt: 0.8303 0.1697 0.5000
Pt: 0.6664 0.3336 0.0000
Pt: 0.5000 0.5000 0.5000
Pt: 0.1697 0.8303 0.5000
Ac: 0.4079 0.0818 0.2452
Ac: 0.0818 0.4079 0.2452
Ac: 0.2437 0.2437 0.7527
Ac: 0.7563 0.7563 0.2473
Ac: 0.5921 0.9182 0.7548
Ac: 0.9182 0.5921 0.7548
Ir: 0.0000 0.0000 0.0000

---

[4]
Below is a geometry-optimized Ac3IrPt structure, with properties calculated at the PBE-GGA level.

Computed properties:
DOS at the Fermi energy = 3.05 states/eV/f.u.

Cell: 4.2086 8.9350 9.0899 Å, 102.58 90.00 90.00°
Atoms (fractional coordinates):
Ac: 0.7500 0.0738 0.3301
Ac: 0.7500 0.2838 0.9928
Ac: 0.2500 0.9262 0.6699
Ac: 0.2500 0.3955 0.6371
Ac: 0.7500 0.6045 0.3629
Ac: 0.2500 0.7162 0.0072
Ir: 0.7500 0.1699 0.6705
Ir: 0.2500 0.8301 0.3295
Pt: 0.2500 0.3289 0.2649
Pt: 0.7500 0.6711 0.7351

---

[5]
Below is a geometry-optimized Ac8Ir4Pt structure, with properties calculated at the PBE-GGA level.

Computed properties:
DOS at the Fermi energy = 7.05 states/eV/f.u.

Cell: 4.4245 11.0899 10.8351 Å, 79.75 78.22 78.49°
Atoms (fractional coordinates):
Ac: 0.2165 0.9083 0.6586
Ac: 0.5373 0.2439 0.6816
Ac: 0.1214 0.4147 0.3426
Ac: 0.8612 0.5857 0.6918
Ac: 0.1706 0.6538 0.0050
Ac: 0.7768 0.0794 0.3671
Ac: 0.8264 0.3356 0.0116
Ac: 0.4601 0.7443 0.3355
Ir: 0.3568 0.4419 0.8444
Ir: 0.6422 0.5316 0.1840
Ir: 0.1532 0.1740 0.5196
Ir: 0.8462 0.8174 0.4902
Pt: 0.6764 0.8017 0.8454

---

[6]
Below is a geometry-optimized AcIrPt structure, with properties calculated at the PBE-GGA level.

Computed properties:
DOS at the Fermi energy = 3.10 states/eV/f.u.

Cell: 4.9598 4.9598 6.0143 Å, 92.46 92.46 83.20°
Atoms (fractional coordinates):
Ir: 0.2920 0.2920 0.1739
Ir: 0.7080 0.7080 0.8261
Pt: 0.8009 0.1991 0.0000
Pt: 0.1991 0.8009 0.0000
Ac: 0.2769 0.2769 0.6712
Ac: 0.7231 0.7231 0.3288

---

[7]
Below is a geometry-optimized Ac4IrPt structure, with properties calculated at the PBE-GGA level.

Computed properties:
DOS at the Fermi energy = 4.31 states/eV/f.u.

Cell: 7.4987 7.5116 9.6038 Å, 105.84 105.79 107.61°
Atoms (fractional coordinates):
Ac: 0.0515 0.8070 0.1037
Ac: 0.1836 0.4288 0.3775
Ac: 0.8164 0.5712 0.6225
Ac: 0.4478 0.7034 0.8963
Ac: 0.5522 0.2966 0.1037
Ac: 0.9485 0.1930 0.8963
Ac: 0.6939 0.9487 0.3775
Ac: 0.3061 0.0513 0.6225
Ir: 0.8241 0.0741 0.1481
Ir: 0.1759 0.9259 0.8519
Pt: 0.3251 0.5751 0.1503
Pt: 0.6749 0.4249 0.8497

---

[8]
Below is a geometry-optimized Ac8Ir4Pt3 structure, with properties calculated at the PBE-GGA level.

Computed properties:
DOS at the Fermi energy = 7.36 states/eV/f.u.

Cell: 8.6938 8.6909 8.6909 Å, 90.23 119.80 119.80°
Atoms (fractional coordinates):
Ac: 0.5000 0.7536 0.2464
Ac: 0.0071 0.7605 0.7605
Ac: 0.4787 0.2354 0.2354
Ac: 0.0000 0.7590 0.2410
Ac: 0.9929 0.2395 0.2395
Ac: 0.5000 0.2464 0.7536
Ac: 0.5213 0.7646 0.7646
Ac: 0.0000 0.2410 0.7590
Ir: 0.0000 0.5000 0.0000
Ir: 0.0000 0.0000 0.5000
Ir: 0.5000 0.0000 0.0000
Ir: 0.0000 0.0000 0.0000
Pt: 0.5000 0.5000 0.0000
Pt: 0.5000 0.5000 0.5000
Pt: 0.5000 0.0000 0.5000

---

Total DFT energy (no corrections), respectively: -6.50, -6.08, -6.38, -6.22, -6.33, -6.75, -5.91, -6.57 eV/atom.
Magnetic moment, respectively: 0.0, 0.0, 0.0, 0.0, 0.0, 0.0, 0.0, 0.0 Bohr magnetons per cell.
DFT formation energy, respectively: -0.95, -0.49, -1.07, -0.77, -0.61, -0.42, -0.69, -0.81 eV/atom.